A geometry-optimized TlCrWO6 structure. Source: Alexandria via LeMat-Bulk, functional GGA+U.

The total DFT energy (no corrections) comes out at -61.28 eV per cell. The value obtained for the calculated density is 7.9 g cm⁻³. For the volume, the calculation gives 113.2 Å³ per cell.

It has space group P312 (No. 149), with a = 5.2173 Å, b = 5.2173 Å, c = 4.8009 Å, α = 90.00°, β = 90.00° and γ = 120.00°. Symmetry generates all atoms from Tl at (0.0000, 0.0000, 0.0000), Cr at (0.6667, 0.3333, 0.5000), W at (0.3333, 0.6667, 0.5000) and O at (0.0093, 0.3663, 0.2770).